# 1
Density functional theory data (PBE) for a geometry-optimized Pr3OsI structure.

Unit cell a=4.0184 b=9.5874 c=8.8580 alpha=90.00 beta=90.00 gamma=90.00
Sites, in units of the cell vectors:
I  0.2500  0.7500  0.5666
I  0.7500  0.2500  0.4334
Pr  0.2500  0.2500  0.7565
Pr  0.7500  0.9263  0.8520
Pr  0.2500  0.0737  0.1480
Pr  0.7500  0.7500  0.2435
Pr  0.2500  0.4263  0.1480
Pr  0.7500  0.5737  0.8520
Os  0.7500  0.2500  0.9751
Os  0.2500  0.7500  0.0249

## Properties
The value obtained for the raw formation energy is -384 meV per atom. Its space-group type is No. 59. The volume is 34.13 Å³ per atom.

---

# 2
Density functional theory data (PBE) for a geometry-optimized Pr4OsI5 structure.

Unit cell a=4.3338 b=9.3683 c=10.1605 alpha=103.21 beta=102.31 gamma=90.00
Sites, in units of the cell vectors:
Pr  0.3591  0.9261  0.7182
Pr  0.0000  0.7898  0.9999
Pr  0.6409  0.0739  0.2818
Pr  0.0000  0.2102  0.0001
I  0.8318  0.6598  0.6637
I  0.1730  0.8326  0.3460
I  0.1682  0.3402  0.3363
I  0.5000  0.5000  0.0000
I  0.8270  0.1674  0.6540
Os  0.5000  0.0000  0.0000

## Properties
The value obtained for the raw formation energy is -1065 meV per atom. Its space-group type is No. 12. The volume is 39.18 Å³ per atom.

---

# 3
Density functional theory data (PBE) for a geometry-optimized Pr3OsI structure.

Unit cell a=4.3428 b=7.3184 c=10.1487 alpha=90.00 beta=90.00 gamma=90.00
Sites, in units of the cell vectors:
I  0.7500  0.7500  0.6428
I  0.2500  0.2500  0.3572
Os  0.2500  0.7500  0.1010
Os  0.7500  0.2500  0.8990
Pr  0.2500  0.5005  0.8582
Pr  0.7500  0.2500  0.6142
Pr  0.7500  0.0005  0.1418
Pr  0.7500  0.4995  0.1418
Pr  0.2500  0.7500  0.3858
Pr  0.2500  0.9995  0.8582

## Properties
The value obtained for the raw formation energy is -364 meV per atom. Its space-group type is No. 59. The volume is 32.26 Å³ per atom.

---

# 4
Density functional theory data (PBE) for a geometry-optimized Pr6OsI10 structure.

Unit cell a=8.0856 b=9.9850 c=10.2422 alpha=107.47 beta=96.93 gamma=104.64
Sites, in units of the cell vectors:
I  0.1571  0.0471  0.2282
I  0.5871  0.8702  0.3237
I  0.4129  0.1298  0.6763
I  0.9522  0.3153  0.5873
I  0.0478  0.6847  0.4127
I  0.7137  0.2425  0.1546
I  0.2439  0.4152  0.0447
I  0.7561  0.5848  0.9553
I  0.8429  0.9529  0.7718
I  0.2863  0.7575  0.8454
Pr  0.6218  0.5464  0.2546
Pr  0.8575  0.6319  0.6728
Pr  0.3782  0.4536  0.7454
Pr  0.1425  0.3681  0.3272
Pr  0.5353  0.2284  0.4210
Pr  0.4647  0.7716  0.5790
Os  0.5000  0.5000  0.5000

## Properties
The value obtained for the raw formation energy is -1228 meV per atom. Its space-group type is No. 2. The volume is 43.86 Å³ per atom.